Entry 1:
# FeAu2Cl PBE-GGA relaxed
# Formation energy (no corrections) in kJ per mole of atoms: 2
# E above lowest polymorph in meV per atom: 22
# Uncorrected energy in eV for the cell shown: -16.76
# D(E_F) in states/eV/f.u.: 2.9
data_FeAu2Cl
_symmetry_space_group_name_H-M 'P 1 m 1'
_symmetry_Int_Tables_number 6
_symmetry_space_group_name_Hall 'P -2y'
_cell_length_a 3.8612
_cell_length_b 3.0243
_cell_length_c 7.1430
_cell_angle_alpha 90.00
_cell_angle_beta 90.25
_cell_angle_gamma 90.00
loop_
_atom_site_label
_atom_site_fract_x
_atom_site_fract_y
_atom_site_fract_z
Fe1 0.0000 0.0000 0.0000
Au1 0.4989 0.5000 0.8320
Au2 0.9973 0.0000 0.6243
Cl1 0.0022 0.5000 0.2509

Entry 2:
# FeAu2Cl PBE-GGA relaxed
# Formation energy (no corrections) in kJ per mole of atoms: 37
# E above lowest polymorph in meV per atom: 378
# Uncorrected energy in eV for the cell shown: -15.34
# D(E_F) in states/eV/f.u.: 6.4
data_FeAu2Cl
_symmetry_space_group_name_H-M 'P 4/m m m'
_symmetry_Int_Tables_number 123
_symmetry_space_group_name_Hall '-P 4 2'
_cell_length_a 3.7976
_cell_length_b 3.7976
_cell_length_c 5.3183
_cell_angle_alpha 90.00
_cell_angle_beta 90.00
_cell_angle_gamma 90.00
loop_
_atom_site_label
_atom_site_fract_x
_atom_site_fract_y
_atom_site_fract_z
Fe1 0.0000 0.0000 0.0000
Au1 0.0000 0.5000 0.5000
Cl1 0.5000 0.5000 0.0000

Entry 3:
# FeAu2Cl PBE-GGA relaxed
# Formation energy (no corrections) in kJ per mole of atoms: 4
# E above lowest polymorph in meV per atom: 39
# Uncorrected energy in eV for the cell shown: -16.69
# D(E_F) in states/eV/f.u.: 2.2
data_FeAu2Cl
_symmetry_space_group_name_H-M 'P 4 m m'
_symmetry_Int_Tables_number 99
_symmetry_space_group_name_Hall 'P 4 -2'
_cell_length_a 2.9337
_cell_length_b 2.9337
_cell_length_c 8.9680
_cell_angle_alpha 90.00
_cell_angle_beta 90.00
_cell_angle_gamma 90.00
loop_
_atom_site_label
_atom_site_fract_x
_atom_site_fract_y
_atom_site_fract_z
Fe1 0.0000 0.0000 0.0000
Au1 0.0000 0.0000 0.4473
Au2 0.5000 0.5000 0.2113
Cl1 0.5000 0.5000 0.8391

Entry 4:
# FeAu2Cl PBE-GGA relaxed
# Formation energy (no corrections) in kJ per mole of atoms: 54
# E above lowest polymorph in meV per atom: 557
# Uncorrected energy in eV for the cell shown: -58.48
# D(E_F) in states/eV/f.u.: 5.2
data_FeAu2Cl
_symmetry_space_group_name_H-M 'F m -3 m'
_symmetry_Int_Tables_number 225
_symmetry_space_group_name_Hall '-F 4 2 3'
_cell_length_a 6.5945
_cell_length_b 6.5945
_cell_length_c 6.5945
_cell_angle_alpha 90.00
_cell_angle_beta 90.00
_cell_angle_gamma 90.00
loop_
_atom_site_label
_atom_site_fract_x
_atom_site_fract_y
_atom_site_fract_z
Fe1 0.0000 0.0000 0.0000
Au1 0.2500 0.2500 0.2500
Cl1 0.0000 0.0000 0.5000

Entry 5:
# FeAuCl4 PBE-GGA relaxed
# Formation energy (no corrections) in kJ per mole of atoms: 97
# E above lowest polymorph in meV per atom: 1522
# Uncorrected energy in eV for the cell shown: -52.30
# D(E_F) in states/eV/f.u.: 10.0
data_FeAuCl4
_symmetry_space_group_name_H-M 'F -4 3 m'
_symmetry_Int_Tables_number 216
_symmetry_space_group_name_Hall 'F -4 2 3'
_cell_length_a 8.1857
_cell_length_b 8.1857
_cell_length_c 8.1857
_cell_angle_alpha 90.00
_cell_angle_beta 90.00
_cell_angle_gamma 90.00
loop_
_atom_site_label
_atom_site_fract_x
_atom_site_fract_y
_atom_site_fract_z
Fe1 0.0000 0.0000 0.0000
Au1 0.2500 0.2500 0.7500
Cl1 0.1250 0.1250 0.3750

Entry 6:
# FeAu2Cl PBE-GGA relaxed
# Formation energy (no corrections) in kJ per mole of atoms: 43
# E above lowest polymorph in meV per atom: 438
# Uncorrected energy in eV for the cell shown: -30.20
# D(E_F) in states/eV/f.u.: 3.3
data_FeAu2Cl
_symmetry_space_group_name_H-M 'C m m m'
_symmetry_Int_Tables_number 65
_symmetry_space_group_name_Hall '-C 2 2'
_cell_length_a 5.3003
_cell_length_b 9.5855
_cell_length_c 2.8908
_cell_angle_alpha 90.00
_cell_angle_beta 90.00
_cell_angle_gamma 90.00
loop_
_atom_site_label
_atom_site_fract_x
_atom_site_fract_y
_atom_site_fract_z
Fe1 0.0000 0.0000 0.0000
Au1 0.2500 0.2500 0.5000
Cl1 0.0000 0.5000 0.0000

Entry 7:
# FeAu2Cl PBE-GGA relaxed
# Formation energy (no corrections) in kJ per mole of atoms: 21
# E above lowest polymorph in meV per atom: 215
# Uncorrected energy in eV for the cell shown: -31.98
# D(E_F) in states/eV/f.u.: 3.4
data_FeAu2Cl
_symmetry_space_group_name_H-M 'I m m 2'
_symmetry_Int_Tables_number 44
_symmetry_space_group_name_Hall 'I 2 -2'
_cell_length_a 2.8719
_cell_length_b 5.5483
_cell_length_c 9.6537
_cell_angle_alpha 90.00
_cell_angle_beta 90.00
_cell_angle_gamma 90.00
loop_
_atom_site_label
_atom_site_fract_x
_atom_site_fract_y
_atom_site_fract_z
Fe1 0.0000 0.0000 0.0000
Au1 0.0000 0.0000 0.4942
Au2 0.0000 0.5000 0.7273
Cl1 0.0000 0.5000 0.3141

Entry 8:
# FeAu2Cl PBE-GGA relaxed
# Formation energy (no corrections) in kJ per mole of atoms: 20
# E above lowest polymorph in meV per atom: 208
# Uncorrected energy in eV for the cell shown: -16.02
# D(E_F) in states/eV/f.u.: 2.4
data_FeAu2Cl
_symmetry_space_group_name_H-M 'P 4/m m m'
_symmetry_Int_Tables_number 123
_symmetry_space_group_name_Hall '-P 4 2'
_cell_length_a 3.0374
_cell_length_b 3.0374
_cell_length_c 7.6602
_cell_angle_alpha 90.00
_cell_angle_beta 90.00
_cell_angle_gamma 90.00
loop_
_atom_site_label
_atom_site_fract_x
_atom_site_fract_y
_atom_site_fract_z
Fe1 0.0000 0.0000 0.0000
Au1 0.5000 0.5000 0.2215
Cl1 0.0000 0.0000 0.5000

Entry 9:
# FeAu2Cl PBE-GGA relaxed
# Formation energy (no corrections) in kJ per mole of atoms: 33
# E above lowest polymorph in meV per atom: 335
# Uncorrected energy in eV for the cell shown: -15.51
# D(E_F) in states/eV/f.u.: 3.4
data_FeAu2Cl
_symmetry_space_group_name_H-M 'P m m m'
_symmetry_Int_Tables_number 47
_symmetry_space_group_name_Hall '-P 2 2'
_cell_length_a 3.0646
_cell_length_b 4.4140
_cell_length_c 5.6403
_cell_angle_alpha 90.00
_cell_angle_beta 90.00
_cell_angle_gamma 90.00
loop_
_atom_site_label
_atom_site_fract_x
_atom_site_fract_y
_atom_site_fract_z
Fe1 0.0000 0.0000 0.0000
Au1 0.0000 0.5000 0.5000
Au2 0.5000 0.0000 0.5000
Cl1 0.5000 0.5000 0.0000

Entry 10:
# FeAuCl3 PBE-GGA relaxed
# Formation energy (no corrections) in kJ per mole of atoms: -6
# E above lowest polymorph in meV per atom: 0
# Uncorrected energy in eV for the cell shown: -17.60
# D(E_F) in states/eV/f.u.: 4.5
data_FeAuCl3
_symmetry_space_group_name_H-M 'P m -3 m'
_symmetry_Int_Tables_number 221
_symmetry_space_group_name_Hall '-P 4 2 3'
_cell_length_a 4.8160
_cell_length_b 4.8160
_cell_length_c 4.8160
_cell_angle_alpha 90.00
_cell_angle_beta 90.00
_cell_angle_gamma 90.00
loop_
_atom_site_label
_atom_site_fract_x
_atom_site_fract_y
_atom_site_fract_z
Fe1 0.0000 0.0000 0.0000
Au1 0.5000 0.5000 0.5000
Cl1 0.0000 0.0000 0.5000

Entry 11:
# FeAu2Cl PBE-GGA relaxed
# Formation energy (no corrections) in kJ per mole of atoms: 31
# E above lowest polymorph in meV per atom: 322
# Uncorrected energy in eV for the cell shown: -31.12
# D(E_F) in states/eV/f.u.: 4.0
data_FeAu2Cl
_symmetry_space_group_name_H-M 'C 1 2/m 1'
_symmetry_Int_Tables_number 12
_symmetry_space_group_name_Hall '-C 2y'
_cell_length_a 5.3695
_cell_length_b 11.2915
_cell_length_c 3.0642
_cell_angle_alpha 90.00
_cell_angle_beta 124.53
_cell_angle_gamma 90.00
loop_
_atom_site_label
_atom_site_fract_x
_atom_site_fract_y
_atom_site_fract_z
Fe1 0.0000 0.0000 0.0000
Au1 0.2500 0.2500 0.5000
Cl1 0.0000 0.5000 0.0000

Entry 12:
# Fe3AuCl9 PBE-GGA relaxed
# Formation energy (no corrections) in kJ per mole of atoms: -61
# Uncorrected energy in eV for the cell shown: -214.27
# D(E_F) in states/eV/f.u.: 6.2
data_Fe3AuCl9
_symmetry_space_group_name_H-M 'C 1 c 1'
_symmetry_Int_Tables_number 9
_symmetry_space_group_name_Hall 'C -2yc'
_cell_length_a 13.8593
_cell_length_b 11.8633
_cell_length_c 12.8449
_cell_angle_alpha 90.00
_cell_angle_beta 120.28
_cell_angle_gamma 90.00
loop_
_atom_site_label
_atom_site_fract_x
_atom_site_fract_y
_atom_site_fract_z
Fe1 0.0000 0.0262 0.0000
Fe2 0.1084 0.3076 0.9504
Fe3 0.2394 0.1202 0.7975
Au1 0.3557 0.2710 0.6148
Cl1 0.0609 0.1260 0.6319
Cl2 0.1367 0.1604 0.0854
Cl3 0.1411 0.4600 0.0537
Cl4 0.2457 0.2855 0.8972
Cl5 0.2701 0.0231 0.4114
Cl6 0.3352 0.4033 0.4734
Cl7 0.3758 0.1298 0.7476
Cl8 0.4446 0.2071 0.2944
Cl9 0.4716 0.4647 0.8296

Entry 13:
# FeAu2Cl PBE-GGA relaxed
# Formation energy (no corrections) in kJ per mole of atoms: 0
# E above lowest polymorph in meV per atom: 0
# Uncorrected energy in eV for the cell shown: -50.55
# D(E_F) in states/eV/f.u.: 3.7
data_FeAu2Cl
_symmetry_space_group_name_H-M 'R 3 m'
_symmetry_Int_Tables_number 160
_symmetry_space_group_name_Hall 'R 3 -2"'
_cell_length_a 3.0572
_cell_length_b 3.0572
_cell_length_c 28.2118
_cell_angle_alpha 90.00
_cell_angle_beta 90.00
_cell_angle_gamma 120.00
loop_
_atom_site_label
_atom_site_fract_x
_atom_site_fract_y
_atom_site_fract_z
Fe1 0.0000 0.0000 0.0000
Au1 0.0000 0.0000 0.2607
Au2 0.0000 0.0000 0.5107
Cl1 0.0000 0.0000 0.7227

Entry 14:
# FeAu3Cl PBE-GGA relaxed
# Formation energy (no corrections) in kJ per mole of atoms: 129
# E above lowest polymorph in meV per atom: 540
# Uncorrected energy in eV for the cell shown: -13.45
# D(E_F) in states/eV/f.u.: 12.7
data_FeAu3Cl
_symmetry_space_group_name_H-M 'P m -3 m'
_symmetry_Int_Tables_number 221
_symmetry_space_group_name_Hall '-P 4 2 3'
_cell_length_a 4.9302
_cell_length_b 4.9302
_cell_length_c 4.9302
_cell_angle_alpha 90.00
_cell_angle_beta 90.00
_cell_angle_gamma 90.00
loop_
_atom_site_label
_atom_site_fract_x
_atom_site_fract_y
_atom_site_fract_z
Fe1 0.0000 0.0000 0.0000
Au1 0.0000 0.5000 0.5000
Cl1 0.5000 0.5000 0.5000